Compound: KYSe2
Source: Alexandria
Functional: PBE
Structure: relaxed

Lattice parameters (Å, degrees): 8.2278 8.2278 6.9175 53.51 53.51 90.00
Closest atoms and distances in Å follow each position.
Sites, in units of the cell vectors:
Y: 0.7500 0.2500 0.5000  4 Se 2.77
Y: 0.2500 0.7500 0.5000  4 Se 2.77
K: 0.7500 0.7500 0.5000  8 Se 3.57, 2 K 3.74
K: 0.2500 0.2500 0.5000  8 Se 3.57, 2 K 3.74
Se: 0.8247 0.3247 0.0000  2 Y 2.77
Se: 0.1753 0.6753 0.0000  2 Y 2.77
Se: 0.3247 0.1753 0.0000  2 Y 2.77
Se: 0.6753 0.8247 0.0000  2 Y 2.77

Values from the calculation:
DOS(E_F) in states/eV/cell: 0.000
V in Å³/cell: 253.3
Formation energy without anion corrections in meV/atom: -1533
Space group: I4/mcm (140)
Total moment in μB per cell: 0.00